Compound: CaMn4Pb
Source: Alexandria
Functional: PBE
Structure: relaxed

Cell lengths 5.238, 5.238, 5.238 Å; angles 60.00, 60.00, 60.00 degrees
Last column: magnetic moment on the atom in μB.
Fractional positions:
Mn (0.373, 0.373, 0.880)  2.50
Mn (0.373, 0.880, 0.373)  2.50
Mn (0.880, 0.373, 0.373)  2.50
Mn (0.373, 0.373, 0.373)  2.50
Pb (0.750, 0.750, 0.750)  -0.09
Ca (0.000, 0.000, 0.000)  -0.02

## Properties
The formation energy comes out at 248 kJ/mol of formula units. The calculation puts the density at 7.63 g/cm3.